Compound: Sc2BeCrPb
Source: Alexandria via LeMat-Bulk
Functional: PBE-GGA
Structure: relaxed

Cell: 4.9262 4.9262 4.6497 Å, 90.00 90.00 90.00°
With the nearest neighbours (Å) after each atom.
Space group P4/mmm (No. 123)
Asymmetric unit:
1 Sc 0.0000 0.5000 0.0000 [2 per cell]  2 Cr 2.46
2 Be 0.0000 0.0000 0.5000 [1 per cell]  2 Cr 2.32
3 Cr 0.0000 0.0000 0.0000 [1 per cell]  2 Be 2.32, 4 Sc 2.46
4 Pb 0.5000 0.5000 0.5000 [1 per cell]  8 Sc 3.39, 4 Be 3.48

Summary:
mass density = 5.3 Mg/m³
final energy = -5.412 eV per atom
energy of formation = 532 meV/atom
crystal system = tetragonal